The following is a PBE calculation of a relaxed structure of Er2TmSb, from Alexandria via LeMat-Bulk.

crystal system = trigonal
SG = R3m, No. 160
energy above the most stable polymorph in this dataset = 0.237 eV/atom
size of the total moment = 0.6 μB per cell

a b c (Å): 3.961 3.961 9.590
angles (deg): 78.08 78.08 60.00
Fractional positions:
Er  0.069  0.069  0.794
Tm  0.500  0.500  0.499
Er  0.265  0.265  0.206
Sb  0.666  0.666  0.002

The following is a PBE calculation of a relaxed structure of CeTl4Te4, from Alexandria via LeMat-Bulk.

crystal system = monoclinic
SG = C2/m, No. 12
size of the total moment = 0.1 μB per cell

a b c (Å): 4.645 8.158 10.247
angles (deg): 72.13 76.90 73.46
Fractional positions:
Te  0.098  0.723  0.082
Tl  0.089  0.235  0.588
Tl  0.293  0.631  0.783
Te  0.328  0.047  0.296
Tl  0.707  0.369  0.217
Tl  0.911  0.765  0.412
Ce  0.500  0.000  0.000
Te  0.902  0.277  0.918
Te  0.672  0.953  0.704

The following is a PBE calculation of a relaxed structure of Li2CdSnF6, from Alexandria via LeMat-Bulk.

crystal system = trigonal
SG = R3, No. 146
size of the total moment = 0.0 μB per cell

a b c (Å): 5.586 5.587 5.753
angles (deg): 60.94 60.95 59.99
Fractional positions:
Cd  0.305  0.305  0.085
F  0.228  0.879  0.249
Li  0.517  0.517  0.448
F  0.743  0.183  0.735
Li  0.024  0.024  0.928
F  0.880  0.644  0.249
F  0.184  0.339  0.734
F  0.644  0.228  0.248
F  0.339  0.743  0.734
Sn  0.798  0.798  0.606

Calculated raw formation energy in order - -0.30 -0.62 -2.49 eV per atom
Calculated E in order - -0.347 -0.274 -0.330 Ry per atom